[1]
# SmTm5Tl | Alexandria | PBE | relaxed
# - Density: 7.16 g cm⁻³
# - Raw total energy: -24.4 eV per formula unit
data_SmTm5Tl
_chemical_formula_sum 'Sm1 Tm5 Tl1'
_space_group_name_H-M_alt 'P 1'
_space_group_IT_number 1
_space_group_name_Hall 'P 1'
_cell_length_a 6.189
_cell_length_b 7.899
_cell_length_c 7.585
_cell_angle_alpha 121.38
_cell_angle_beta 114.08
_cell_angle_gamma 90.00
loop_
_atom_site_label
_atom_site_type_symbol
_atom_site_fract_x
_atom_site_fract_y
_atom_site_fract_z
Tm1 Tm 0.971 0.747 0.495
Tm2 Tm 0.328 0.186 0.000
Tm3 Tm 0.328 0.814 0.000
Tm4 Tm 0.035 0.500 0.000
Tm5 Tm 0.476 0.253 0.505
Tl1 Tl 0.563 0.500 0.000
Sm1 Sm 0.829 0.000 0.000

[2]
# KGa2CuAg | Alexandria | PBE | relaxed
# - Density: 4.95 g cm⁻³
# - Raw total energy: -13.7 eV per formula unit
data_KGa2CuAg
_chemical_formula_sum 'K1 Ga2 Cu1 Ag1'
_space_group_name_H-M_alt 'P 1'
_space_group_IT_number 1
_space_group_name_Hall 'P 1'
_cell_length_a 4.745
_cell_length_b 4.745
_cell_length_c 5.220
_cell_angle_alpha 90.00
_cell_angle_beta 90.00
_cell_angle_gamma 90.00
loop_
_atom_site_label
_atom_site_type_symbol
_atom_site_fract_x
_atom_site_fract_y
_atom_site_fract_z
Cu1 Cu 0.000 0.000 0.000
Ga1 Ga 0.500 0.000 0.000
Ga2 Ga 0.000 0.500 0.000
Ag1 Ag 0.000 0.000 0.500
K1 K 0.500 0.500 0.500